No. 1
Here is YEr2Os after structural relaxation from the Alexandria database. Energies are from PBE. Values from VASP.

Cell and atoms, written as Quantum ESPRESSO input:
```
&SYSTEM
  ibrav = 0, nat = 16, ntyp = 3
/
ATOMIC_SPECIES
Er 167.26 Er.upf
Y 88.91 Y.upf
Os 190.23 Os.upf
CELL_PARAMETERS angstrom
6.278 0.000 0.000
0.000 7.411 0.000
0.000 0.000 8.958
ATOMIC_POSITIONS crystal
Er 0.164 0.674 0.438
Er 0.164 0.674 0.062
Er 0.836 0.326 0.938
Er 0.336 0.174 0.062
Er 0.664 0.826 0.562
Er 0.336 0.174 0.438
Er 0.664 0.826 0.938
Er 0.836 0.326 0.562
Y 0.375 0.462 0.750
Y 0.625 0.538 0.250
Y 0.875 0.038 0.250
Y 0.125 0.962 0.750
Os 0.544 0.117 0.750
Os 0.044 0.383 0.250
Os 0.956 0.617 0.750
Os 0.456 0.883 0.250
```

Properties
Formation energy in kJ/mol of atoms: -26.8
SG: Pnma, No. 62
M_tot in μB/f.u.: 0.0
Relative energy among the computed polymorphs in kJ/mol of atoms: 0.0
Raw total energy in eV/atom: -6.98

No. 2
Here is Hf6TiIr after structural relaxation from the Alexandria database. Energies are from PBE. Values from VASP.

Cell and atoms, written as Quantum ESPRESSO input:
```
&SYSTEM
  ibrav = 0, nat = 8, ntyp = 3
/
ATOMIC_SPECIES
Hf 178.49 Hf.upf
Ir 192.22 Ir.upf
Ti 47.87 Ti.upf
CELL_PARAMETERS angstrom
5.595 -0.636 -1.193
-2.672 4.957 -1.193
-1.564 -2.312 7.689
ATOMIC_POSITIONS crystal
Hf 0.342 0.752 0.748
Hf 0.752 0.342 0.748
Hf 0.248 0.658 0.252
Hf 0.158 0.158 0.747
Hf 0.842 0.842 0.253
Hf 0.658 0.248 0.252
Ir 0.500 0.500 0.500
Ti 0.000 0.000 0.000
```

Properties
Formation energy in kJ/mol of atoms: 1.8
SG: C2/m, No. 12
M_tot in μB/f.u.: 1.7
Raw total energy in eV/atom: -9.54

No. 3
Here is Ce7SnHg2 after structural relaxation from the Alexandria database. Energies are from PBE. Values from VASP.

Cell and atoms, written as Quantum ESPRESSO input:
```
&SYSTEM
  ibrav = 0, nat = 10, ntyp = 3
/
ATOMIC_SPECIES
Hg 200.59 Hg.upf
Ce 140.12 Ce.upf
Sn 118.71 Sn.upf
CELL_PARAMETERS angstrom
5.081 0.000 0.000
0.000 8.951 -0.630
0.000 -4.515 7.755
ATOMIC_POSITIONS crystal
Hg 0.500 0.694 0.306
Hg 0.500 0.306 0.694
Ce 0.000 0.209 0.791
Ce 0.500 0.728 0.945
Ce 0.500 0.272 0.055
Ce 0.500 0.945 0.728
Ce 0.500 0.055 0.272
Ce 0.500 0.500 0.500
Ce 0.000 0.791 0.209
Sn 0.000 0.000 0.000
```

Properties
Formation energy in kJ/mol of atoms: 17.9
SG: Cmmm, No. 65
M_tot in μB/f.u.: 7.2
Raw total energy in eV/atom: -4.43

No. 4
Here is ZrRhS after structural relaxation from the Alexandria database. Energies are from PBE. Values from VASP.

Cell and atoms, written as Quantum ESPRESSO input:
```
&SYSTEM
  ibrav = 0, nat = 6, ntyp = 3
/
ATOMIC_SPECIES
Zr 91.22 Zr.upf
Rh 102.91 Rh.upf
S 32.06 S.upf
CELL_PARAMETERS angstrom
3.606 0.000 0.000
0.000 5.564 -0.113
0.000 -0.602 5.532
ATOMIC_POSITIONS crystal
Zr 0.500 0.791 0.209
Zr 0.500 0.209 0.791
Rh 0.000 0.311 0.311
Rh 0.000 0.689 0.689
S 0.000 0.000 0.000
S 0.500 0.500 0.500
```

Properties
SG: Cmmm, No. 65
M_tot in μB/f.u.: 0.0
ΔE_f (raw) in eV/f.u.: -2.07
Raw total energy in eV/atom: -7.37

No. 5
Here is Gd3InCo after structural relaxation from the Alexandria database. Energies are from PBE. Values from VASP.

Cell and atoms, written as Quantum ESPRESSO input:
```
&SYSTEM
  ibrav = 0, nat = 5, ntyp = 3
/
ATOMIC_SPECIES
Gd 157.25 Gd.upf
Co 58.93 Co.upf
In 114.82 In.upf
CELL_PARAMETERS angstrom
-1.629 -2.380 -4.305
-3.510 -2.614 2.774
-3.445 3.788 -0.790
ATOMIC_POSITIONS crystal
Gd 0.000 0.500 0.000
Gd 0.500 0.000 0.000
Gd 0.000 0.000 0.500
Co 0.000 0.000 0.000
In 0.500 0.500 0.500
```

Properties
Formation energy in kJ/mol of atoms: -20.5
SG: Pm-3m, No. 221
M_tot in μB/f.u.: 21.7
Raw total energy in eV/atom: -10.63

No. 6
Here is Ga4PbO7 after structural relaxation from the Alexandria database. Energies are from PBE. Values from VASP.

Cell and atoms, written as Quantum ESPRESSO input:
```
&SYSTEM
  ibrav = 0, nat = 24, ntyp = 3
/
ATOMIC_SPECIES
Pb 207.20 Pb.upf
Ga 69.72 Ga.upf
O 16.00 O.upf
CELL_PARAMETERS angstrom
5.153 0.000 0.000
0.000 5.374 0.000
0.000 0.000 13.306
ATOMIC_POSITIONS crystal
Pb 0.211 0.163 0.000
Pb 0.711 0.837 0.500
Ga 0.084 0.328 0.381
Ga 0.063 0.821 0.748
Ga 0.584 0.672 0.881
Ga 0.563 0.179 0.752
Ga 0.563 0.179 0.248
Ga 0.084 0.328 0.619
Ga 0.063 0.821 0.252
Ga 0.584 0.672 0.119
O 0.933 0.715 0.133
O 0.422 0.856 0.225
O 0.922 0.144 0.275
O 0.489 0.337 0.127
O 0.489 0.337 0.873
O 0.964 0.191 0.500
O 0.989 0.663 0.373
O 0.989 0.663 0.627
O 0.464 0.809 0.000
O 0.422 0.856 0.775
O 0.433 0.285 0.367
O 0.922 0.144 0.725
O 0.433 0.285 0.633
O 0.933 0.715 0.867
```

Properties
SG: Pmn2_1, No. 31
M_tot in μB/f.u.: 0.0
ΔE_f (raw) in eV/f.u.: -20.66
Raw total energy in eV/atom: -5.93

No. 7
Here is Mg2SiAg2 after structural relaxation from the Alexandria database. Energies are from PBE. Values from VASP.

Cell and atoms, written as Quantum ESPRESSO input:
```
&SYSTEM
  ibrav = 0, nat = 10, ntyp = 3
/
ATOMIC_SPECIES
Si 28.09 Si.upf
Ag 107.87 Ag.upf
Mg 24.30 Mg.upf
CELL_PARAMETERS angstrom
-0.205 -0.121 6.725
-3.682 -5.628 -0.214
3.537 -2.317 0.066
ATOMIC_POSITIONS crystal
Si 0.500 0.500 0.000
Si 0.000 0.000 0.000
Ag 0.853 0.647 0.000
Ag 0.147 0.353 0.000
Ag 0.647 0.147 0.000
Ag 0.353 0.853 0.000
Mg 0.336 0.164 0.500
Mg 0.164 0.664 0.500
Mg 0.836 0.336 0.500
Mg 0.664 0.836 0.500
```

Properties
SG: P4/mbm, No. 127
M_tot in μB/f.u.: 0.0
Relative energy among the computed polymorphs in kJ/mol of atoms: 0.0
ΔE_f (raw) in eV/f.u.: 0.04
Raw total energy in eV/atom: -2.85

No. 8
Here is CrNiN3 after structural relaxation from the Alexandria database. Energies are from PBE. Values from VASP.

Cell and atoms, written as Quantum ESPRESSO input:
```
&SYSTEM
  ibrav = 0, nat = 5, ntyp = 3
/
ATOMIC_SPECIES
N 14.01 N.upf
Cr 52.00 Cr.upf
Ni 58.69 Ni.upf
CELL_PARAMETERS angstrom
-0.536 -2.455 -2.664
2.644 -2.105 1.409
-2.476 -1.717 2.081
ATOMIC_POSITIONS crystal
N 0.000 0.000 0.500
N 0.500 0.000 0.000
N 0.000 0.500 0.000
Cr 0.000 0.000 0.000
Ni 0.500 0.500 0.500
```

Properties
SG: Pm-3m, No. 221
M_tot in μB/f.u.: 0.0
ΔE_f (raw) in eV/f.u.: 5.28
Raw total energy in eV/atom: -7.02

No. 9
Here is Na2HAuSe after structural relaxation from the Alexandria database. Energies are from PBE. Values from VASP.

Cell and atoms, written as Quantum ESPRESSO input:
```
&SYSTEM
  ibrav = 0, nat = 5, ntyp = 4
/
ATOMIC_SPECIES
Na 22.99 Na.upf
Au 196.97 Au.upf
Se 78.96 Se.upf
H 1.01 H.upf
CELL_PARAMETERS angstrom
5.081 0.000 0.000
0.000 5.081 0.000
0.000 0.000 3.595
ATOMIC_POSITIONS crystal
Na 0.500 0.000 0.000
Na 0.000 0.500 0.000
Au 0.000 0.000 0.500
Se 0.500 0.500 0.500
H 0.000 0.000 0.000
```

Properties
SG: P4/mmm, No. 123
M_tot in μB/f.u.: 0.0
Raw total energy in eV/atom: -3.00

No. 10
Here is TaNbH after structural relaxation from the Alexandria database. Energies are from PBE. Values from VASP.

Cell and atoms, written as Quantum ESPRESSO input:
```
&SYSTEM
  ibrav = 0, nat = 12, ntyp = 3
/
ATOMIC_SPECIES
Ta 180.95 Ta.upf
Nb 92.91 Nb.upf
H 1.01 H.upf
CELL_PARAMETERS angstrom
3.403 0.000 0.000
0.000 4.793 0.000
0.000 0.000 9.649
ATOMIC_POSITIONS crystal
Ta 0.500 0.250 0.135
Ta 0.500 0.750 0.365
Ta 0.000 0.250 0.865
Ta 0.000 0.750 0.635
Nb 0.000 0.250 0.371
Nb 0.500 0.750 0.871
Nb 0.000 0.750 0.129
Nb 0.500 0.250 0.629
H 0.249 0.008 0.000
H 0.251 0.992 0.500
H 0.749 0.492 0.000
H 0.751 0.508 0.500
```

Properties
SG: P2_12_12_1, No. 19
M_tot in μB/f.u.: 0.0
Relative energy among the computed polymorphs in kJ/mol of atoms: 0.2
Raw total energy in eV/atom: -8.60

No. 11
Here is BaPmH6Pd2 after structural relaxation from the Alexandria database. Energies are from PBE. Values from VASP.

Cell and atoms, written as Quantum ESPRESSO input:
```
&SYSTEM
  ibrav = 0, nat = 20, ntyp = 4
/
ATOMIC_SPECIES
H 1.01 H.upf
Pd 106.42 Pd.upf
Ba 137.33 Ba.upf
Pm 145.00 Pm.upf
CELL_PARAMETERS angstrom
6.598 -0.266 -0.150
-1.071 6.516 -0.150
-1.782 -2.016 6.416
ATOMIC_POSITIONS crystal
H 0.905 0.429 0.140
H 0.861 0.770 0.485
H 0.429 0.905 0.640
H 0.770 0.861 0.985
H 0.491 0.687 0.120
H 0.509 0.313 0.880
H 0.687 0.491 0.620
H 0.313 0.509 0.380
H 0.095 0.571 0.860
H 0.230 0.139 0.015
H 0.139 0.230 0.515
H 0.571 0.095 0.360
Pd 0.668 0.958 0.175
Pd 0.042 0.332 0.325
Pd 0.958 0.668 0.675
Pd 0.332 0.042 0.825
Ba 0.157 0.843 0.250
Ba 0.843 0.157 0.750
Pm 0.589 0.411 0.250
Pm 0.411 0.589 0.750
```

Properties
SG: C2/c, No. 15
M_tot in μB/f.u.: 0.0
Raw total energy in eV/atom: -4.19

No. 12
Here is Ho5PtPb4 after structural relaxation from the Alexandria database. Energies are from PBE. Values from VASP.

Cell and atoms, written as Quantum ESPRESSO input:
```
&SYSTEM
  ibrav = 0, nat = 10, ntyp = 3
/
ATOMIC_SPECIES
Pt 195.08 Pt.upf
Pb 207.20 Pb.upf
Ho 164.93 Ho.upf
CELL_PARAMETERS angstrom
6.228 0.000 0.000
3.114 6.844 0.000
3.114 0.000 6.844
ATOMIC_POSITIONS crystal
Pt 0.071 0.000 0.000
Pb 0.788 0.774 0.611
Pb 0.399 0.389 0.774
Pb 0.562 0.611 0.226
Pb 0.173 0.226 0.389
Ho 0.715 0.170 0.367
Ho 0.583 0.000 0.000
Ho 0.252 0.830 0.633
Ho 0.082 0.633 0.170
Ho 0.885 0.367 0.830
```

Properties
Formation energy in kJ/mol of atoms: -43.6
SG: I4, No. 79
M_tot in μB/f.u.: 0.0
Raw total energy in eV/atom: -4.83